First-principles (PBE) data for Sr2Zn6Pd3 after structural relaxation, as listed in Alexandria.

Cell lengths 7.7960, 7.7960, 4.2401 Å; angles 90.00, 90.00, 120.00 degrees
Last column: nearest neighbours and their distance in Å.
Positions (direct):
Sr: 0.3333 0.6667 0.0000  6 Pd 3.23, 9 Zn 3.30-3.55
Sr: 0.6667 0.3333 0.0000  6 Pd 3.23, 9 Zn 3.30-3.55
Zn: 0.0000 0.1912 0.0000  6 Zn 2.58-2.86, 2 Pd 2.59
Zn: 0.0000 0.7234 0.5000  3 Pd 2.66-2.67, 4 Zn 2.86
Zn: 0.1912 0.0000 0.0000  6 Zn 2.58-2.86, 2 Pd 2.59
Zn: 0.2766 0.2766 0.5000  3 Pd 2.66-2.67, 4 Zn 2.86
Zn: 0.7234 0.0000 0.5000  3 Pd 2.66-2.67, 4 Zn 2.86
Zn: 0.8088 0.8088 0.0000  6 Zn 2.58-2.86, 2 Pd 2.59
Pd: 0.0000 0.3811 0.5000  5 Zn 2.59-2.67
Pd: 0.3811 0.0000 0.5000  5 Zn 2.59-2.67
Pd: 0.6189 0.6189 0.5000  5 Zn 2.59-2.67

Summary:
Calculated formation energy ... -4.68 eV per formula unit
Energy ... -2.8425 eV per atom
Space group ... P-62m

=====

First-principles (PBE) data for CoRe2Mo after structural relaxation, as listed in Alexandria.

Cell lengths 2.6953, 3.8069, 5.5669 Å; angles 90.00, 90.00, 90.00 degrees
Last column: nearest neighbours and their distance in Å.
Positions (direct):
Co: 0.0000 0.0000 0.0000  8 Re 2.65, 2 Co 2.70, 2 Mo 2.78
Re: 0.5000 0.5000 0.2274  3 Re 2.53-2.70, 4 Co 2.65, 4 Mo 2.78
Re: 0.5000 0.5000 0.7726  3 Re 2.53-2.70, 4 Co 2.65, 4 Mo 2.78
Mo: 0.0000 0.0000 0.5000  2 Mo 2.70, 8 Re 2.78, 2 Co 2.78

Summary:
Excess energy over the best structure of this formula in the dataset ... 114 meV/atom
Calculated formation energy ... 0.64 eV per formula unit
Energy ... -10.5472 eV per atom
Space group ... Pmmm

=====

First-principles (PBE) data for YPaIn4 after structural relaxation, as listed in Alexandria.

Cell lengths 6.0024, 6.0024, 6.0024 Å; angles 60.00, 60.00, 60.00 degrees
Last column: nearest neighbours and their distance in Å.
Positions (direct):
Y: 0.0000 0.0000 0.0000  12 In 3.52, 4 Pa 3.68
Pa: 0.7500 0.7500 0.7500  12 In 3.52, 4 Y 3.68
In: 0.3751 0.3751 0.3751  6 In 3.00
In: 0.3751 0.3751 0.8746  6 In 3.00
In: 0.3751 0.8746 0.3751  6 In 3.00
In: 0.8746 0.3751 0.3751  6 In 3.00

Summary:
Calculated formation energy ... -0.51 eV per formula unit
Energy ... -4.5706 eV per atom
Space group ... F-43m